P:
# La5Sb

A geometry-optimized La5Sb structure (PBE, Alexandria via LeMat-Bulk).

Geometry as CIF:
```
data_La5Sb
_chemical_formula_sum 'La5 Sb1'
_symmetry_space_group_name_H-M 'P -6 2 m'
_symmetry_Int_Tables_number 189
_symmetry_space_group_name_Hall 'P -6 -2'
_cell_length_a 6.2387
_cell_length_b 6.2387
_cell_length_c 5.9364
_cell_angle_alpha 90.00
_cell_angle_beta 90.00
_cell_angle_gamma 120.00
loop_
_atom_site_label
_atom_site_type_symbol
_atom_site_fract_x
_atom_site_fract_y
_atom_site_fract_z
La1 La 0.0000 0.6992 0.0000
La2 La 0.3333 0.6667 0.5000
Sb1 Sb 0.0000 0.0000 0.5000
```

Calculated values
Crystal system: hexagonal
Density of states at the Fermi level: 7.6 states/eV per cell

Q:
# La5Sb

A geometry-optimized La5Sb structure (PBE, Alexandria via LeMat-Bulk).

Geometry as CIF:
```
data_La5Sb
_chemical_formula_sum 'La10 Sb2'
_symmetry_space_group_name_H-M 'C m m m'
_symmetry_Int_Tables_number 65
_symmetry_space_group_name_Hall '-C 2 2'
_cell_length_a 4.9769
_cell_length_b 16.0792
_cell_length_c 5.0121
_cell_angle_alpha 90.00
_cell_angle_beta 90.00
_cell_angle_gamma 90.00
loop_
_atom_site_label
_atom_site_type_symbol
_atom_site_fract_x
_atom_site_fract_y
_atom_site_fract_z
La1 La 0.0000 0.0000 0.0000
La2 La 0.0000 0.1573 0.5000
La3 La 0.0000 0.3440 0.0000
Sb1 Sb 0.0000 0.5000 0.5000
```

Calculated values
Crystal system: orthorhombic
Density of states at the Fermi level: 15.7 states/eV per cell

Verdict on stability: Q comes out on top.

P:
# YCoPb2

A geometry-optimized YCoPb2 structure (PBE, Alexandria via LeMat-Bulk).

Geometry as CIF:
```
data_YCoPb2
_chemical_formula_sum 'Y3 Co3 Pb6'
_symmetry_space_group_name_H-M 'R -3 m'
_symmetry_Int_Tables_number 166
_symmetry_space_group_name_Hall '-R 3 2"'
_cell_length_a 4.4818
_cell_length_b 4.4818
_cell_length_c 16.1406
_cell_angle_alpha 90.00
_cell_angle_beta 90.00
_cell_angle_gamma 120.00
loop_
_atom_site_label
_atom_site_type_symbol
_atom_site_fract_x
_atom_site_fract_y
_atom_site_fract_z
Y1 Y 0.0000 0.0000 0.0000
Co1 Co 0.0000 0.0000 0.5000
Pb1 Pb 0.0000 0.0000 0.2268
```

Calculated values
Crystal system: trigonal
Density of states at the Fermi level: 9.0 states/eV per cell

Q:
# YCoPb2

A geometry-optimized YCoPb2 structure (PBE, Alexandria via LeMat-Bulk).

Geometry as CIF:
```
data_YCoPb2
_chemical_formula_sum 'Y4 Co4 Pb8'
_symmetry_space_group_name_H-M 'F m -3 m'
_symmetry_Int_Tables_number 225
_symmetry_space_group_name_Hall '-F 4 2 3'
_cell_length_a 7.1971
_cell_length_b 7.1971
_cell_length_c 7.1971
_cell_angle_alpha 90.00
_cell_angle_beta 90.00
_cell_angle_gamma 90.00
loop_
_atom_site_label
_atom_site_type_symbol
_atom_site_fract_x
_atom_site_fract_y
_atom_site_fract_z
Y1 Y 0.0000 0.0000 0.0000
Co1 Co 0.0000 0.0000 0.5000
Pb1 Pb 0.2500 0.2500 0.2500
```

Calculated values
Crystal system: cubic
Density of states at the Fermi level: 12.7 states/eV per cell

Verdict on stability: P comes out on top.

P:
# Y3HgO

A geometry-optimized Y3HgO structure (PBE, Alexandria via LeMat-Bulk).

Geometry as CIF:
```
data_Y3HgO
_chemical_formula_sum 'Y6 Hg2 O2'
_symmetry_space_group_name_H-M 'P 63/m m c'
_symmetry_Int_Tables_number 194
_symmetry_space_group_name_Hall '-P 6c 2c'
_cell_length_a 5.2923
_cell_length_b 5.2923
_cell_length_c 9.3222
_cell_angle_alpha 90.00
_cell_angle_beta 90.00
_cell_angle_gamma 120.00
loop_
_atom_site_label
_atom_site_type_symbol
_atom_site_fract_x
_atom_site_fract_y
_atom_site_fract_z
Y1 Y 0.0000 0.0000 0.2500
Y2 Y 0.3333 0.6667 0.0757
Hg1 Hg 0.3333 0.6667 0.7500
O1 O 0.0000 0.0000 0.0000
```

Calculated values
Crystal system: hexagonal
Density of states at the Fermi level: 4.6 states/eV per cell

Q:
# Y3HgO

A geometry-optimized Y3HgO structure (PBE, Alexandria via LeMat-Bulk).

Geometry as CIF:
```
data_Y3HgO
_chemical_formula_sum 'Y12 Hg4 O4'
_symmetry_space_group_name_H-M 'I -4 m 2'
_symmetry_Int_Tables_number 119
_symmetry_space_group_name_Hall 'I -4 -2'
_cell_length_a 5.3129
_cell_length_b 5.3129
_cell_length_c 22.8491
_cell_angle_alpha 90.00
_cell_angle_beta 90.00
_cell_angle_gamma 90.00
loop_
_atom_site_label
_atom_site_type_symbol
_atom_site_fract_x
_atom_site_fract_y
_atom_site_fract_z
Y1 Y 0.0000 0.0000 0.1973
Y2 Y 0.0000 0.2404 0.6252
Hg1 Hg 0.0000 0.0000 0.5000
Hg2 Hg 0.0000 0.5000 0.7500
O1 O 0.0000 0.5000 0.1566
```

Calculated values
Crystal system: tetragonal
Density of states at the Fermi level: 18.6 states/eV per cell

Verdict on stability: P comes out on top.

P:
# ZnCuMo

A geometry-optimized ZnCuMo structure (PBE, Alexandria via LeMat-Bulk).

Geometry as CIF:
```
data_ZnCuMo
_chemical_formula_sum 'Zn1 Cu1 Mo1'
_symmetry_space_group_name_H-M 'P 3 m 1'
_symmetry_Int_Tables_number 156
_cell_length_a 2.7118
_cell_length_b 2.7118
_cell_length_c 6.7122
_cell_angle_alpha 90.00
_cell_angle_beta 90.00
_cell_angle_gamma 120.00
loop_
_symmetry_equiv_pos_as_xyz
'x,y,z'
'-y,x-y,z'
'-x+y,-x,z'
'-y,-x,z'
'-x+y,y,z'
'x,x-y,z'
loop_
_atom_site_label
_atom_site_type_symbol
_atom_site_fract_x
_atom_site_fract_y
_atom_site_fract_z
Zn1 Zn 0.0000 0.0000 0.0000
Cu1 Cu 0.6667 0.3333 0.3148
Mo1 Mo 0.3333 0.6667 0.6482
```

Calculated values
Crystal system: trigonal
Density of states at the Fermi level: 2.9 states/eV per cell

Q:
# ZnCuMo

A geometry-optimized ZnCuMo structure (PBE, Alexandria via LeMat-Bulk).

Geometry as CIF:
```
data_ZnCuMo
_chemical_formula_sum 'Zn4 Cu4 Mo4'
_symmetry_space_group_name_H-M 'F -4 3 m'
_symmetry_Int_Tables_number 216
_symmetry_space_group_name_Hall 'F -4 2 3'
_cell_length_a 5.7465
_cell_length_b 5.7465
_cell_length_c 5.7465
_cell_angle_alpha 90.00
_cell_angle_beta 90.00
_cell_angle_gamma 90.00
loop_
_atom_site_label
_atom_site_type_symbol
_atom_site_fract_x
_atom_site_fract_y
_atom_site_fract_z
Zn1 Zn 0.0000 0.0000 0.0000
Cu1 Cu 0.2500 0.2500 0.7500
Mo1 Mo 0.0000 0.0000 0.5000
```

Calculated values
Crystal system: cubic
Density of states at the Fermi level: 16.2 states/eV per cell

Verdict on stability: P comes out on top.

P:
# NbVAs2

A geometry-optimized NbVAs2 structure (PBE, Alexandria via LeMat-Bulk).

Geometry as CIF:
```
data_NbVAs2
_chemical_formula_sum 'Nb4 V4 As8'
_symmetry_space_group_name_H-M 'P n m a'
_symmetry_Int_Tables_number 62
_cell_length_a 5.1088
_cell_length_b 3.5242
_cell_length_c 16.1633
_cell_angle_alpha 90.00
_cell_angle_beta 90.00
_cell_angle_gamma 90.00
loop_
_symmetry_equiv_pos_as_xyz
'x,y,z'
'-x,-y,-z'
'-x+1/2,-y,z+1/2'
'x+1/2,y,-z+1/2'
'x+1/2,-y+1/2,-z+1/2'
'-x+1/2,y+1/2,z+1/2'
'-x,y+1/2,-z'
'x,-y+1/2,z'
loop_
_atom_site_label
_atom_site_type_symbol
_atom_site_fract_x
_atom_site_fract_y
_atom_site_fract_z
Nb1 Nb 0.2078 0.2500 0.0842
V1 V 0.1927 0.2500 0.8577
As1 As 0.2103 0.2500 0.6998
As2 As 0.2121 0.2500 0.4575
```

Calculated values
Crystal system: orthorhombic
Density of states at the Fermi level: 13.5 states/eV per cell

Q:
# NbVAs2

A geometry-optimized NbVAs2 structure (PBE, Alexandria via LeMat-Bulk).

Geometry as CIF:
```
data_NbVAs2
_chemical_formula_sum 'Nb4 V4 As8'
_symmetry_space_group_name_H-M 'I -4 2 d'
_symmetry_Int_Tables_number 122
_symmetry_space_group_name_Hall 'I -4 2bw'
_cell_length_a 5.8404
_cell_length_b 5.8404
_cell_length_c 11.3660
_cell_angle_alpha 90.00
_cell_angle_beta 90.00
_cell_angle_gamma 90.00
loop_
_atom_site_label
_atom_site_type_symbol
_atom_site_fract_x
_atom_site_fract_y
_atom_site_fract_z
Nb1 Nb 0.0000 0.0000 0.0000
V1 V 0.0000 0.0000 0.5000
As1 As 0.2416 0.2500 0.6250
```

Calculated values
Crystal system: tetragonal
Density of states at the Fermi level: 21.0 states/eV per cell

Verdict on stability: P comes out on top.

P:
# ZrTe2Cl

A geometry-optimized ZrTe2Cl structure (PBE, Alexandria via LeMat-Bulk).

Geometry as CIF:
```
data_ZrTe2Cl
_chemical_formula_sum 'Zr2 Te4 Cl2'
_symmetry_space_group_name_H-M 'C 1 2/m 1'
_symmetry_Int_Tables_number 12
_cell_length_a 10.1652
_cell_length_b 3.7482
_cell_length_c 5.6266
_cell_angle_alpha 90.00
_cell_angle_beta 103.34
_cell_angle_gamma 90.00
loop_
_symmetry_equiv_pos_as_xyz
'x,y,z'
'-x,-y,-z'
'-x,y,-z'
'x,-y,z'
'x+1/2,y+1/2,z'
'-x+1/2,-y+1/2,-z'
'-x+1/2,y+1/2,-z'
'x+1/2,-y+1/2,z'
loop_
_atom_site_label
_atom_site_type_symbol
_atom_site_fract_x
_atom_site_fract_y
_atom_site_fract_z
Zr1 Zr 0.0000 0.0000 0.0000
Te1 Te 0.2203 0.5000 0.2073
Cl1 Cl 0.0000 0.5000 0.5000
```

Calculated values
Crystal system: monoclinic
Density of states at the Fermi level: 4.4 states/eV per cell

Q:
# ZrTe2Cl

A geometry-optimized ZrTe2Cl structure (PBE, Alexandria via LeMat-Bulk).

Geometry as CIF:
```
data_ZrTe2Cl
_chemical_formula_sum 'Zr1 Te2 Cl1'
_symmetry_space_group_name_H-M 'P m m 2'
_symmetry_Int_Tables_number 25
_cell_length_a 3.1736
_cell_length_b 3.3643
_cell_length_c 10.8334
_cell_angle_alpha 90.00
_cell_angle_beta 90.00
_cell_angle_gamma 90.00
loop_
_symmetry_equiv_pos_as_xyz
'x,y,z'
'-x,-y,z'
'-x,y,z'
'x,-y,z'
loop_
_atom_site_label
_atom_site_type_symbol
_atom_site_fract_x
_atom_site_fract_y
_atom_site_fract_z
Zr1 Zr 0.0000 0.0000 0.0000
Te1 Te 0.0000 0.0000 0.4871
Te2 Te 0.5000 0.5000 0.8214
Cl1 Cl 0.5000 0.5000 0.1440
```

Calculated values
Crystal system: orthorhombic
Density of states at the Fermi level: 2.9 states/eV per cell

Verdict on stability: Q comes out on top.